Record 1
This record from Alexandria via LeMat-Bulk describes a relaxed SrZrCu4 crystal. The functional is GGA-PBE.

Cell lengths 5.2708, 5.2708, 5.2708 Å; angles 60.00, 60.00, 60.00 degrees
Fractional positions:
Zr  0.0000  0.0000  0.0000
Cu  0.3736  0.8792  0.3736
Cu  0.8792  0.3736  0.3736
Cu  0.3736  0.3736  0.8792
Cu  0.3736  0.3736  0.3736
Sr  0.7500  0.7500  0.7500

Results
As for the space group: No. 216.



Record 2
This record from Alexandria via LeMat-Bulk describes a relaxed TiHgAsBr2 crystal. The functional is GGA-PBE.

Cell lengths 5.0807, 5.0807, 5.1715 Å; angles 90.00, 90.00, 90.00 degrees
Fractional positions:
As  0.0000  0.0000  0.5000
Br  0.5000  0.0000  0.0000
Br  0.0000  0.5000  0.0000
Hg  0.5000  0.5000  0.5000
Ti  0.0000  0.0000  0.0000

Results
For the energy above the most stable polymorph in this dataset, the calculation gives 0.000 eV/atom. As for the space group: No. 123. The raw formation energy is -1.66 eV per formula unit.



Record 3
This record from Alexandria via LeMat-Bulk describes a relaxed BaNd6Te8 crystal. The functional is GGA-PBE.

Cell lengths 8.5889, 8.5889, 8.5889 Å; angles 91.17, 91.17, 91.17 degrees
Fractional positions:
Te  0.2702  0.6269  0.8626
Te  0.7577  0.7577  0.7577
Te  0.1374  0.7298  0.3731
Te  0.6269  0.8626  0.2702
Te  0.3731  0.1374  0.7298
Te  0.8626  0.2702  0.6269
Te  0.7298  0.3731  0.1374
Te  0.2423  0.2423  0.2423
Nd  0.4334  0.8072  0.5933
Nd  0.5933  0.4334  0.8072
Nd  0.4067  0.5666  0.1928
Nd  0.8072  0.5933  0.4334
Nd  0.5666  0.1928  0.4067
Nd  0.1928  0.4067  0.5666
Ba  0.0000  0.0000  0.0000

Results
As for the space group: No. 148. The raw formation energy is -19.00 eV per formula unit.



Record 4
This record from Alexandria via LeMat-Bulk describes a relaxed Y2ScAu2 crystal. The functional is GGA-PBE.

Cell lengths 8.3547, 8.3547, 3.4574 Å; angles 90.00, 90.00, 90.00 degrees
Fractional positions:
Y  0.1500  0.3500  0.0000
Y  0.3500  0.8500  0.0000
Y  0.8500  0.6500  0.0000
Y  0.6500  0.1500  0.0000
Sc  0.0000  0.0000  0.0000
Sc  0.5000  0.5000  0.0000
Au  0.6478  0.8522  0.5000
Au  0.8522  0.3522  0.5000
Au  0.3522  0.1478  0.5000
Au  0.1478  0.6478  0.5000

Results
For the energy above the most stable polymorph in this dataset, the calculation gives 0.201 eV/atom. As for the space group: No. 127.



Record 5
This record from Alexandria via LeMat-Bulk describes a relaxed LiNd2Ag crystal. The functional is GGA-PBE.

Cell lengths 3.8842, 5.2443, 5.2443 Å; angles 90.00, 90.00, 90.00 degrees
Fractional positions:
Li  0.5000  0.5000  0.5000
Nd  0.0000  0.5000  0.0000
Nd  0.0000  0.0000  0.5000
Ag  0.5000  0.0000  0.0000

Results
For the energy above the most stable polymorph in this dataset, the calculation gives 0.000 eV/atom. As for the space group: No. 123.



Record 6
This record from Alexandria via LeMat-Bulk describes a relaxed Na2Pd2Pb7 crystal. The functional is GGA-PBE.

Cell lengths 4.4078, 8.8099, 8.8099 Å; angles 72.16, 75.28, 75.28 degrees
Fractional positions:
Pb  0.3650  0.8718  0.3939
Pb  0.1838  0.8176  0.8176
Pb  0.5000  0.0000  0.0000
Pb  0.6350  0.1282  0.6061
Pb  0.3650  0.3939  0.8718
Pb  0.8162  0.1824  0.1824
Pb  0.6350  0.6061  0.1282
Pd  0.0000  0.1904  0.8096
Pd  0.0000  0.8096  0.1904
Na  0.8818  0.6185  0.6185
Na  0.1182  0.3815  0.3815

Results
As for the space group: No. 12.



Record 7
This record from Alexandria via LeMat-Bulk describes a relaxed Hf4ThZr crystal. The functional is GGA-PBE.

Cell lengths 5.9171, 5.9171, 5.9171 Å; angles 60.00, 60.00, 60.00 degrees
Fractional positions:
Hf  0.1236  0.6255  0.6255
Hf  0.6255  0.6255  0.6255
Hf  0.6255  0.6255  0.1236
Hf  0.6255  0.1236  0.6255
Th  0.2500  0.2500  0.2500
Zr  0.0000  0.0000  0.0000

Results
As for the space group: No. 216.



Record 8
This record from Alexandria via LeMat-Bulk describes a relaxed YBe4Br crystal. The functional is GGA-PBE.

Cell lengths 5.1413, 5.1413, 5.1413 Å; angles 60.00, 60.00, 60.00 degrees
Fractional positions:
Y  0.0000  0.0000  0.0000
Be  0.9339  0.3554  0.3554
Be  0.3554  0.3554  0.3554
Be  0.3554  0.3554  0.9339
Be  0.3554  0.9339  0.3554
Br  0.7500  0.7500  0.7500

Results
As for the space group: No. 216. The raw formation energy is 2.81 eV per formula unit.



Record 9
This record from Alexandria via LeMat-Bulk describes a relaxed Li7Bi4Pd crystal. The functional is GGA-PBE.

Cell lengths 4.9480, 9.2975, 6.4009 Å; angles 77.77, 67.26, 74.57 degrees
Fractional positions:
Bi  0.4236  0.7715  0.3812
Bi  0.5764  0.2285  0.6188
Bi  0.2688  0.2974  0.1650
Bi  0.7312  0.7026  0.8350
Pd  0.0000  0.0000  0.0000
Li  0.9160  0.3115  0.8565
Li  0.1918  0.0603  0.5560
Li  0.3614  0.5230  0.7543
Li  0.0840  0.6885  0.1435
Li  0.8082  0.9397  0.4440
Li  0.5000  0.0000  0.0000
Li  0.6386  0.4770  0.2457

Results
As for the space group: No. 12.



Record 10
This record from Alexandria via LeMat-Bulk describes a relaxed ZnRe2Ir crystal. The functional is GGA-PBE.

Cell lengths 9.0861, 9.0861, 9.0861 Å; angles 17.47, 17.47, 17.47 degrees
Fractional positions:
Re  0.4985  0.4985  0.4985
Re  0.0015  0.0015  0.0015
Zn  0.2500  0.2500  0.2500
Ir  0.7500  0.7500  0.7500

Results
For the energy above the most stable polymorph in this dataset, the calculation gives 0.087 eV/atom. As for the space group: No. 166.



Record 11
This record from Alexandria via LeMat-Bulk describes a relaxed Tm3Cu4Sn4 crystal. The functional is GGA-PBE.

Cell lengths 8.3109, 8.3109, 6.9534 Å; angles 66.20, 66.20, 30.98 degrees
Fractional positions:
Cu  0.3107  0.3107  0.8857
Cu  0.6547  0.6547  0.5213
Cu  0.3453  0.3453  0.4787
Cu  0.6893  0.6893  0.1143
Sn  0.7825  0.7825  0.6931
Sn  0.5139  0.5139  0.1895
Sn  0.4861  0.4861  0.8105
Sn  0.2175  0.2175  0.3069
Tm  0.1296  0.1296  0.8496
Tm  0.0000  0.0000  0.5000
Tm  0.8704  0.8704  0.1504

Results
For the energy above the most stable polymorph in this dataset, the calculation gives 0.000 eV/atom. As for the space group: No. 12.



Record 12
This record from Alexandria via LeMat-Bulk describes a relaxed Ag2OsPb crystal. The functional is GGA-PBE.

Cell lengths 3.4310, 3.4825, 6.3100 Å; angles 90.00, 90.00, 90.00 degrees
Fractional positions:
Ag  0.5000  0.5000  0.2478
Ag  0.0000  0.0000  0.0265
Pb  0.5000  0.5000  0.7254
Os  0.0000  0.0000  0.5003

Results
As for the space group: No. 25.



Let's list energy in order: -4.285 -3.570 -4.978 -5.646 -3.645 -3.655 -9.032 -3.373 -3.123 -8.675 -4.641 -4.474 eV/atom.